1.
Material: Na2BC4
Method: DFT, PBE
State: relaxed

The structure in CIF format:
```
data_Na2BC4
_chemical_formula_sum 'Na4 B2 C8'
_symmetry_space_group_name_H-M 'I 4/m m m'
_symmetry_Int_Tables_number 139
_symmetry_space_group_name_Hall '-I 4 2'
_cell_length_a 3.7700
_cell_length_b 3.7700
_cell_length_c 12.1498
_cell_angle_alpha 90.00
_cell_angle_beta 90.00
_cell_angle_gamma 90.00
loop_
_atom_site_label
_atom_site_fract_x
_atom_site_fract_y
_atom_site_fract_z
Na1 0.0000 0.0000 0.1625
B1 0.0000 0.0000 0.5000
C1 0.0000 0.0000 0.3779
C2 0.0000 0.5000 0.0000
```

As for the formation enthalpy at 0 K: 1994 meV/atom. The value obtained for the raw total energy is -32.25 eV per formula unit.

2.
Material: Na5B6C4
Method: DFT, PBE
State: relaxed

The structure in CIF format:
```
data_Na5B6C4
_chemical_formula_sum 'Na20 B24 C16'
_symmetry_space_group_name_H-M 'C 1 2/m 1'
_symmetry_Int_Tables_number 12
_cell_length_a 17.6895
_cell_length_b 2.8331
_cell_length_c 13.1141
_cell_angle_alpha 90.00
_cell_angle_beta 113.95
_cell_angle_gamma 90.00
loop_
_symmetry_equiv_pos_as_xyz
'x,y,z'
'-x,-y,-z'
'-x,y,-z'
'x,-y,z'
'x+1/2,y+1/2,z'
'-x+1/2,-y+1/2,-z'
'-x+1/2,y+1/2,-z'
'x+1/2,-y+1/2,z'
loop_
_atom_site_label
_atom_site_fract_x
_atom_site_fract_y
_atom_site_fract_z
Na1 0.0000 0.0000 0.0000
Na2 0.0000 0.0000 0.5000
Na3 0.0991 0.5000 0.2007
Na4 0.0987 0.5000 0.7014
Na5 0.1999 0.0000 0.4005
Na6 0.1997 0.0000 0.9003
B1 0.0328 0.0000 0.3147
B2 0.0387 0.0000 0.8283
B3 0.0730 0.5000 0.3953
B4 0.1367 0.5000 0.0232
B5 0.1692 0.0000 0.5885
B6 0.2344 0.0000 0.2173
C1 0.0704 0.5000 0.8917
C2 0.1376 0.5000 0.5239
C3 0.1686 0.0000 0.0862
C4 0.2336 0.0000 0.7193
```

The value obtained for the excess energy over the best structure of this formula in the dataset is 6 meV/atom. As for the formation enthalpy at 0 K: 58 meV/atom. The value obtained for the raw total energy is -82.69 eV per formula unit.

Computed values of DOS at the Fermi energy (unit: states/eV/cell) for the preceding records, in sequence: 4.53 12.27.